1.
Density functional theory data (GGA-PBE) for a relaxed SmAl3Os2 crystal.

abc: 5.391 6.402 6.402
angles: 98.99 90.00 90.00
Positions (direct):
Al: 0.750 0.091 0.451
Al: 0.250 0.549 0.909
Al: 0.750 0.451 0.091
Al: 0.750 0.038 0.038
Al: 0.250 0.962 0.962
Al: 0.250 0.909 0.549
Os: 0.500 0.221 0.779
Os: 0.000 0.221 0.779
Os: 0.500 0.779 0.221
Os: 0.000 0.779 0.221
Sm: 0.250 0.347 0.347
Sm: 0.750 0.653 0.653

Its magnetization is 0.00 μB/f.u. The total energy is -6.83 eV per atom. Its space group is Cmcm (63). Its formation enthalpy at 0 K is -0.43 eV per atom.

2.
Density functional theory data (GGA-PBE) for a relaxed AcInRu crystal.

abc: 4.887 4.887 4.887
angles: 60.00 60.00 60.00
Positions (direct):
In: 0.000 0.000 0.000
Ac: 0.500 0.500 0.500
Ru: 0.250 0.250 0.250

Its magnetization is 0.00 μB/f.u. The total energy is -5.47 eV per atom. Its energy above the lowest structure with this stoichiometry is 0.187 eV/atom. Its space group is F-43m (216). Its formation enthalpy at 0 K is -0.09 eV per atom.

3.
Density functional theory data (GGA-PBE) for a relaxed SrTcHg2Ge crystal.

abc: 5.136 6.088 5.136
angles: 90.00 90.00 90.00
Last column: magnetic moment on the atom in μB.
Positions (direct):
Ge: 0.000 0.000 0.000  0.07
Tc: 0.500 0.500 0.500  3.30
Hg: 0.500 0.000 0.000  0.01
Hg: 0.000 0.000 0.500  0.01
Sr: 0.000 0.500 0.000  -0.03

Its magnetization is 3.85 μB/f.u. The total energy is -2.53 eV per atom. Its space group is P4/mmm (123). Its formation enthalpy at 0 K is 0.93 eV per atom.

4.
Density functional theory data (GGA-PBE) for a relaxed NaCdSn2Se4 crystal.

abc: 4.131 7.238 7.228
angles: 71.04 90.00 90.00
Positions (direct):
Se: 0.000 0.256 0.238
Se: 0.500 0.752 0.239
Se: 0.500 0.248 0.761
Se: 0.000 0.744 0.762
Na: 0.000 0.500 0.500
Cd: 0.500 0.500 0.000
Sn: 0.500 0.000 0.500
Sn: 0.000 0.000 0.000

Its magnetization is 0.00 μB/f.u. The total energy is -3.59 eV per atom. Its space group is P2/m (10). The formation energy from raw total energies is -0.57 eV/atom.

5.
Density functional theory data (GGA-PBE) for a relaxed Ca2Sb3Pd4Au crystal.

abc: 4.505 4.505 10.991
angles: 90.00 90.00 90.00
Positions (direct):
Pd: 0.500 0.500 0.000
Pd: 0.000 0.000 0.000
Pd: 0.000 0.500 0.362
Pd: 0.500 0.000 0.638
Ca: 0.500 0.000 0.253
Ca: 0.000 0.500 0.747
Sb: 0.000 0.500 0.130
Sb: 0.500 0.000 0.870
Sb: 0.000 0.000 0.500
Au: 0.500 0.500 0.500

Its magnetization is 0.00 μB/f.u. The total energy is -4.71 eV per atom. Its space group is P-4m2 (115). The formation energy from raw total energies is -0.67 eV/atom.

6.
Density functional theory data (GGA-PBE) for a relaxed YW2Se crystal.

abc: 3.058 3.058 8.101
angles: 90.00 90.00 90.00
Positions (direct):
W: 0.000 0.000 0.950
W: 0.000 0.000 0.550
Y: 0.500 0.500 0.250
Se: 0.500 0.500 0.750

Its magnetization is 0.00 μB/f.u. The total energy is -8.34 eV per atom. Its space group is P4/mmm (123). The formation energy from raw total energies is 0.62 eV/atom.

7.
Density functional theory data (GGA-PBE) for a relaxed DySiRh crystal.

abc: 4.255 6.919 7.371
angles: 90.00 90.00 90.00
Positions (direct):
Dy: 0.250 0.498 0.812
Dy: 0.750 0.002 0.312
Dy: 0.750 0.502 0.188
Dy: 0.250 0.998 0.688
Rh: 0.250 0.654 0.430
Rh: 0.250 0.154 0.070
Rh: 0.750 0.846 0.930
Rh: 0.750 0.346 0.570
Si: 0.750 0.203 0.896
Si: 0.250 0.297 0.396
Si: 0.750 0.703 0.604
Si: 0.250 0.797 0.104

Its magnetization is 0.00 μB/f.u. The total energy is -6.85 eV per atom. Its space group is Pnma (62). The formation energy from raw total energies is -1.05 eV/atom.

8.
Density functional theory data (GGA-PBE) for a relaxed Sm2ZnGa3 crystal.

abc: 4.092 4.327 8.071
angles: 105.55 104.68 90.00
Positions (direct):
Zn: 0.460 0.960 0.919
Ga: 0.295 0.795 0.591
Ga: 0.705 0.705 0.411
Ga: 0.539 0.539 0.079
Sm: 0.131 0.131 0.261
Sm: 0.869 0.369 0.739

Its magnetization is 0.00 μB/f.u. The total energy is -3.90 eV per atom. Its energy above the lowest structure with this stoichiometry is 0.010 eV/atom. Its space group is Imm2 (44). Its formation enthalpy at 0 K is -0.60 eV per atom.

What did the second record say?
Density functional theory data (GGA-PBE) for a relaxed AcInRu crystal.

abc: 4.887 4.887 4.887
angles: 60.00 60.00 60.00
Positions (direct):
In: 0.000 0.000 0.000
Ac: 0.500 0.500 0.500
Ru: 0.250 0.250 0.250

Its magnetization is 0.00 μB/f.u. The total energy is -5.47 eV per atom. Its energy above the lowest structure with this stoichiometry is 0.187 eV/atom. Its space group is F-43m (216). Its formation enthalpy at 0 K is -0.09 eV per atom.

Repeat the sixth record exactly.
Density functional theory data (GGA-PBE) for a relaxed YW2Se crystal.

abc: 3.058 3.058 8.101
angles: 90.00 90.00 90.00
Positions (direct):
W: 0.000 0.000 0.950
W: 0.000 0.000 0.550
Y: 0.500 0.500 0.250
Se: 0.500 0.500 0.750

Its magnetization is 0.00 μB/f.u. The total energy is -8.34 eV per atom. Its space group is P4/mmm (123). The formation energy from raw total energies is 0.62 eV/atom.

Q: Which formula does entry 8 have?
A: Sm2ZnGa3